No. 1
## Pr2HRh (GGA-PBE)

Data for Pr2HRh after structural relaxation.

Computed properties:
- V (Å³/cell) = 362.9
- energy above the lowest structure with this stoichiometry (meV per atom) = 0.0
- spin magnetization (μB/atom) = 0.00

Lattice parameters (Å, degrees): 14.1802 3.8741 7.2032 90.00 113.48 90.00
With the nearest neighbours (Å) after each atom.
Space group C2/m (No. 12)
Inequivalent atoms, fractional coordinates:
Pr (0.0147, 0.0000, 0.2554)  2 H 2.34-2.39
Pr (0.2168, 0.5000, 0.7511)  2 H 2.41
H (0.1119, 0.0000, 0.6042)  4 Pr 2.34-2.41
Rh (0.1163, 0.5000, 0.0575)  7 Pr 2.94-3.08, 1 Rh 3.06

***

No. 2
## PrHRh (GGA-PBE)

Data for PrHRh after structural relaxation.

Computed properties:
- V (Å³/cell) = 209.0
- energy above the lowest structure with this stoichiometry (meV per atom) = 6.3
- spin magnetization (μB/atom) = 0.00

Lattice parameters (Å, degrees): 7.5176 4.1560 6.6910 90.00 90.00 90.00
With the nearest neighbours (Å) after each atom.
Space group Pnma (No. 62)
Inequivalent atoms, fractional coordinates:
Pr (0.2023, 0.2500, 0.1591)  3 H 2.38-2.57
H (0.0074, 0.7500, 0.1071)  1 Rh 1.67
Rh (0.0272, 0.2500, 0.6466)  1 H 1.67

***

No. 3
## Pr2H8Rh (GGA-PBE)

Data for Pr2H8Rh after structural relaxation.

Computed properties:
- V (Å³/cell) = 218.4
- E_tot (Ry per atom) = -0.318
- spin magnetization (μB/atom) = 0.00

Lattice parameters (Å, degrees): 3.8308 4.4107 12.9248 90.00 90.00 90.00
With the nearest neighbours (Å) after each atom.
Space group Immm (No. 71)
Inequivalent atoms, fractional coordinates:
Pr (0.0000, 0.0000, 0.1461)  10 H 2.30-2.50
H (0.0000, 0.2270, 0.3942)  1 Rh 1.70
H (0.0000, 0.2969, 0.0000)  1 H 1.79
H (0.0000, 0.5000, 0.2372)  2 H 2.36, 4 Pr 2.44-2.50
Rh (0.0000, 0.0000, 0.5000)  4 H 1.70

***

No. 4
## Pr2HRh (GGA-PBE)

Data for Pr2HRh after structural relaxation.

Computed properties:
- V (Å³/cell) = 82.6
- energy above the lowest structure with this stoichiometry (meV per atom) = 258.7
- spin magnetization (μB/atom) = 0.00

Lattice parameters (Å, degrees): 3.3877 3.3877 7.1971 90.00 90.00 90.00
With the nearest neighbours (Å) after each atom.
Space group P4/mmm (No. 123)
Inequivalent atoms, fractional coordinates:
Pr (0.0000, 0.0000, 0.2467)  4 H 2.98, 4 Rh 3.01
H (0.5000, 0.5000, 0.0000)  8 Pr 2.98
Rh (0.5000, 0.5000, 0.5000)  8 Pr 3.01